SrWBr2: relaxed, PBE.

Cell and atoms, written as CIF:
```
data_SrWBr2
_space_group_name_H-M_alt 'P m m m'
_space_group_IT_number 47
_space_group_name_Hall '-P 2 2'
_cell_length_a 3.6497
_cell_length_b 4.7253
_cell_length_c 6.3956
_cell_angle_alpha 90.00
_cell_angle_beta 90.00
_cell_angle_gamma 90.00
loop_
_atom_site_label
_atom_site_type_symbol
_atom_site_fract_x
_atom_site_fract_y
_atom_site_fract_z
Sr1 Sr 0.0000 0.0000 0.0000
W1 W 0.5000 0.0000 0.5000
Br1 Br 0.0000 0.5000 0.5000
Br2 Br 0.5000 0.5000 0.0000
```

SrWBr2: relaxed, PBE.

Cell and atoms, written as CIF:
```
data_SrWBr2
_space_group_name_H-M_alt 'I m m m'
_space_group_IT_number 71
_space_group_name_Hall '-I 2 2'
_cell_length_a 3.5487
_cell_length_b 5.3797
_cell_length_c 12.6891
_cell_angle_alpha 90.00
_cell_angle_beta 90.00
_cell_angle_gamma 90.00
loop_
_atom_site_label
_atom_site_type_symbol
_atom_site_fract_x
_atom_site_fract_y
_atom_site_fract_z
Sr1 Sr 0.0000 0.0000 0.0000
W1 W 0.0000 0.0000 0.5000
Br1 Br 0.0000 0.5000 0.1507
```

SrWBr2: relaxed, PBE.

Cell and atoms, written as CIF:
```
data_SrWBr2
_space_group_name_H-M_alt 'I -4 2 d'
_space_group_IT_number 122
_space_group_name_Hall 'I -4 2bw'
_cell_length_a 5.2525
_cell_length_b 5.2525
_cell_length_c 17.8523
_cell_angle_alpha 90.00
_cell_angle_beta 90.00
_cell_angle_gamma 90.00
loop_
_atom_site_label
_atom_site_type_symbol
_atom_site_fract_x
_atom_site_fract_y
_atom_site_fract_z
Sr1 Sr 0.0000 0.0000 0.0000
W1 W 0.0000 0.0000 0.5000
Br1 Br 0.1972 0.2500 0.6250
```

| no. | ΔE to the lowest computed polymorph (kJ per mole of atoms) | ΔE_f (raw) (eV per atom) | VASP energy (eV/atom) |
| --- | --- | --- | --- |
| 1 | 26.7 | 0.290 | -4.206 |
| 2 | 6.4 | 0.079 | -4.416 |
| 3 | 28.2 | 0.305 | -4.190 |